No. 1
{
  "formula": "SrErGeAu",
  "functional": "PBE",
  "state": "optimized geometry",
  "magnetic_moment_mub_per_atom": 0.00,
  "ef_kj_per_mol_fu": -254.4,
  "lattice_angstrom": [[5.2204, 0.0000, 0.0000], [2.6102, 4.5210, 0.0000], [2.6102, 1.5070, 4.2624]],
  "species": ["Sr", "Ge", "Au", "Er"],
  "fractional_positions": [[0.5000, 0.5000, 0.5000], [0.2500, 0.2500, 0.2500], [0.7500, 0.7500, 0.7500], [0.0000, 0.0000, 0.0000]]
}



No. 2
{
  "formula": "Sr2ErGe3Au12",
  "functional": "PBE",
  "state": "optimized geometry",
  "magnetic_moment_mub_per_atom": 0.00,
  "ef_kj_per_mol_fu": -272.5,
  "lattice_angstrom": [[-7.4492, -0.9640, -2.9036], [-4.1337, -4.9340, 4.8393], [-5.1677, 4.3107, 4.4230]],
  "species": ["Sr", "Sr", "Er", "Ge", "Ge", "Ge", "Au", "Au", "Au", "Au", "Au", "Au", "Au", "Au", "Au", "Au", "Au", "Au"],
  "fractional_positions": [[0.6016, 0.6016, 0.6016], [0.3984, 0.3984, 0.3984], [0.0000, 0.0000, 0.0000], [0.5000, 0.0000, 0.0000], [0.0000, 0.5000, 0.0000], [0.0000, 0.0000, 0.5000], [0.3104, 0.3104, 0.8413], [0.8512, 0.8512, 0.3701], [0.3701, 0.8512, 0.8512], [0.8413, 0.3104, 0.3104], [0.8512, 0.3701, 0.8512], [0.3104, 0.8413, 0.3104], [0.6896, 0.6896, 0.1587], [0.1488, 0.1488, 0.6299], [0.6299, 0.1488, 0.1488], [0.1587, 0.6896, 0.6896], [0.1488, 0.6299, 0.1488], [0.6896, 0.1587, 0.6896]]
}



No. 3
{
  "formula": "Sr2ErGe3Au4",
  "functional": "PBE",
  "state": "optimized geometry",
  "magnetic_moment_mub_per_atom": 0.00,
  "ef_kj_per_mol_fu": -574.8,
  "lattice_angstrom": [[4.4661, 0.0000, 0.0000], [0.0000, 4.4661, 0.0000], [0.0000, 0.0000, 11.7653]],
  "species": ["Sr", "Sr", "Er", "Ge", "Ge", "Ge", "Au", "Au", "Au", "Au"],
  "fractional_positions": [[0.5000, 0.0000, 0.2243], [0.0000, 0.5000, 0.7757], [0.5000, 0.5000, 0.5000], [0.0000, 0.0000, 0.5000], [0.5000, 0.0000, 0.8751], [0.0000, 0.5000, 0.1249], [0.5000, 0.5000, 0.0000], [0.0000, 0.0000, 0.0000], [0.5000, 0.0000, 0.6552], [0.0000, 0.5000, 0.3448]]
}



No. 4
{
  "formula": "TbErGeAu",
  "functional": "PBE",
  "state": "optimized geometry",
  "magnetic_moment_mub_per_atom": 0.10,
  "polymorph_energy_mev_per_atom": 112,
  "ef_kj_per_mol_fu": -288.6,
  "lattice_angstrom": [[-4.0309, -3.0626, -0.2244], [-1.3183, -2.1345, -4.4028], [0.6366, -4.9793, -0.6928]],
  "species": ["Tb", "Ge", "Au", "Er"],
  "fractional_positions": [[0.0000, 0.0000, 0.0000], [0.2500, 0.2500, 0.2500], [0.7500, 0.7500, 0.7500], [0.5000, 0.5000, 0.5000]]
}